Below is an optimized crystal structure of Na2PaVO6, with properties calculated at the PBE with a Hubbard U level.

Output
Density: 5.470 g/cm³
Magnetization: 0.00 μB/atom
Calculated total energy: -7.3679 eV per atom
Crystal system: trigonal

Lattice parameters (Å, degrees): 5.6366 5.6366 14.0317 90.00 90.00 120.00
Space group R3 (No. 146, hexagonal axes)
Inequivalent atoms, fractional coordinates:
Na 0.0000 0.0000 0.0000 (multiplicity 3)
Na 0.0000 0.0000 0.4958 (multiplicity 3)
Pa 0.0000 0.0000 0.7367 (multiplicity 3)
V 0.0000 0.0000 0.2376 (multiplicity 3)
O 0.0219 0.4393 0.9737 (multiplicity 9)
O 0.1062 0.7472 0.8165 (multiplicity 9)